# MnTe2NF

A relaxed structure of MnTe2NF (PBE with a Hubbard U, the Alexandria database).

raw total energy	-16.47	eV/cell
space-group type	No. 123

a b c (Å): 4.862 4.862 4.190
angles (deg): 90.00 90.00 90.00
Last column: magnetic moment on the atom in μB.
Fractional coordinates of all 5 atoms:
N (0.000, 0.000, 0.500)  1.17
Te (0.500, 0.000, 0.000)  0.05
F (0.000, 0.000, 0.000)  -0.02
Te (0.000, 0.500, 0.000)  0.05
Mn (0.500, 0.500, 0.500)  -0.91

# MnTeN2F

A relaxed structure of MnTeN2F (PBE with a Hubbard U, the Alexandria database).

E above lowest polymorph	1372	meV per atom
space-group type	No. 123

a b c (Å): 4.466 4.466 4.109
angles (deg): 90.00 90.00 90.00
Last column: magnetic moment on the atom in μB.
Fractional coordinates of all 5 atoms:
Te (0.000, 0.000, 0.500)  0.01
F (0.000, 0.000, 0.000)  0.15
Mn (0.500, 0.500, 0.500)  4.62
N (0.000, 0.500, 0.000)  1.06
N (0.500, 0.000, 0.000)  1.06

# TiMnNF2

A relaxed structure of TiMnNF2 (PBE with a Hubbard U, the Alexandria database).

E above lowest polymorph	0	meV per atom
space-group type	No. 123

a b c (Å): 3.981 3.981 4.050
angles (deg): 90.00 90.00 90.00
Last column: magnetic moment on the atom in μB.
Fractional coordinates of all 5 atoms:
F (0.500, 0.000, 0.000)  0.03
N (0.000, 0.000, 0.500)  -0.06
Ti (0.000, 0.000, 0.000)  0.65
F (0.000, 0.500, 0.000)  0.03
Mn (0.500, 0.500, 0.500)  4.75

# TiMnN2F

A relaxed structure of TiMnN2F (PBE with a Hubbard U, the Alexandria database).

E above lowest polymorph	0	meV per atom
space-group type	No. 123

a b c (Å): 3.949 3.949 3.893
angles (deg): 90.00 90.00 90.00
Last column: magnetic moment on the atom in μB.
Fractional coordinates of all 5 atoms:
F (0.000, 0.000, 0.500)  0.02
Ti (0.000, 0.000, 0.000)  0.03
N (0.000, 0.500, 0.000)  -0.12
N (0.500, 0.000, 0.000)  -0.12
Mn (0.500, 0.500, 0.500)  4.67

# TiMnN2F

A relaxed structure of TiMnN2F (PBE with a Hubbard U, the Alexandria database).

E above lowest polymorph	622	meV per atom
space-group type	No. 123

a b c (Å): 3.868 3.868 3.683
angles (deg): 90.00 90.00 90.00
Last column: magnetic moment on the atom in μB.
Fractional coordinates of all 5 atoms:
F (0.000, 0.000, 0.500)  0.02
Mn (0.000, 0.000, 0.000)  3.52
Ti (0.500, 0.500, 0.500)  1.01
N (0.000, 0.500, 0.000)  -0.29
N (0.500, 0.000, 0.000)  -0.29

# TiMnNF2

A relaxed structure of TiMnNF2 (PBE with a Hubbard U, the Alexandria database).

E above lowest polymorph	588	meV per atom
space-group type	No. 123

a b c (Å): 3.883 3.883 4.237
angles (deg): 90.00 90.00 90.00
Last column: magnetic moment on the atom in μB.
Fractional coordinates of all 5 atoms:
F (0.500, 0.000, 0.000)  0.06
Ti (0.500, 0.500, 0.500)  1.61
N (0.000, 0.000, 0.500)  -0.30
Mn (0.000, 0.000, 0.000)  4.32
F (0.000, 0.500, 0.000)  0.06

# MnTlN2F

A relaxed structure of MnTlN2F (PBE with a Hubbard U, the Alexandria database).

E above lowest polymorph	403	meV per atom
space-group type	No. 123

a b c (Å): 4.303 4.303 4.471
angles (deg): 90.00 90.00 90.00
Last column: magnetic moment on the atom in μB.
Fractional coordinates of all 5 atoms:
N (0.000, 0.500, 0.000)  -0.59
N (0.500, 0.000, 0.000)  -0.59
Mn (0.500, 0.500, 0.500)  4.78
F (0.000, 0.000, 0.500)  0.03
Tl (0.000, 0.000, 0.000)  0.01

# MnTlN2F

A relaxed structure of MnTlN2F (PBE with a Hubbard U, the Alexandria database).

E above lowest polymorph	0	meV per atom
space-group type	No. 123

a b c (Å): 3.757 3.757 4.309
angles (deg): 90.00 90.00 90.00
Fractional coordinates of all 5 atoms:
F (0.000, 0.000, 0.500)
Mn (0.000, 0.000, 0.000)
Tl (0.500, 0.500, 0.500)
N (0.500, 0.000, 0.000)
N (0.000, 0.500, 0.000)

# MnVN2F

A relaxed structure of MnVN2F (PBE with a Hubbard U, the Alexandria database).

E above lowest polymorph	0	meV per atom
space-group type	No. 123

a b c (Å): 3.860 3.860 3.890
angles (deg): 90.00 90.00 90.00
Last column: magnetic moment on the atom in μB.
Fractional coordinates of all 5 atoms:
N (0.500, 0.000, 0.000)  -0.28
Mn (0.500, 0.500, 0.500)  4.66
F (0.000, 0.000, 0.500)  0.04
V (0.000, 0.000, 0.000)  1.03
N (0.000, 0.500, 0.000)  -0.28

# MnVNF2

A relaxed structure of MnVNF2 (PBE with a Hubbard U, the Alexandria database).

E above lowest polymorph	0	meV per atom
space-group type	No. 123

a b c (Å): 3.989 3.989 3.994
angles (deg): 90.00 90.00 90.00
Last column: magnetic moment on the atom in μB.
Fractional coordinates of all 5 atoms:
Mn (0.500, 0.500, 0.500)  4.76
F (0.000, 0.500, 0.000)  0.05
V (0.000, 0.000, 0.000)  2.00
N (0.000, 0.000, 0.500)  -0.26
F (0.500, 0.000, 0.000)  0.05

# MnVN2F

A relaxed structure of MnVN2F (PBE with a Hubbard U, the Alexandria database).

E above lowest polymorph	797	meV per atom
space-group type	No. 123

a b c (Å): 3.547 5.495 3.547
angles (deg): 90.00 90.00 90.00
Last column: magnetic moment on the atom in μB.
Fractional coordinates of all 5 atoms:
Mn (0.000, 0.000, 0.000)  1.92
N (0.000, 0.000, 0.500)  -0.72
N (0.500, 0.000, 0.000)  -0.74
V (0.000, 0.500, 0.000)  2.80
F (0.500, 0.500, 0.500)  -0.01

# MnVNF2

A relaxed structure of MnVNF2 (PBE with a Hubbard U, the Alexandria database).

E above lowest polymorph	333	meV per atom
space-group type	No. 123

a b c (Å): 3.945 3.945 4.086
angles (deg): 90.00 90.00 90.00
Last column: magnetic moment on the atom in μB.
Fractional coordinates of all 5 atoms:
F (0.500, 0.000, 0.000)  0.05
N (0.000, 0.000, 0.500)  -0.36
Mn (0.000, 0.000, 0.000)  4.14
V (0.500, 0.500, 0.500)  2.87
F (0.000, 0.500, 0.000)  0.05